[1]
# PrNd3Tm4

Crystalline PrNd3Tm4 at its relaxed geometry (GGA-PBE, the Alexandria database).

Summary:
**Volume**: 528 Å³/cell
**Symmetry**: No. 31
**Formation enthalpy at 0 K**: 29 meV per atom

```
16
Lattice="-1.419 -5.044 -3.458 -3.949 -2.687 5.540 -9.326 5.390 -4.035" Properties=species:S:1:pos:R:3 pbc="T T T"
Pr -1.672 -1.729 1.555
Pr -8.061 -2.247 -0.765
Nd -3.400 -4.942 1.255
Nd -6.214 -5.307 -0.924
Nd -4.481 -2.089 -0.630
Nd -6.333 0.968 -0.463
Nd -9.144 0.607 -2.647
Nd -10.877 -2.611 -2.941
Tm -3.689 -3.113 4.368
Tm -1.389 -3.586 -1.581
Tm -4.198 -3.919 -3.742
Tm -6.489 -3.447 2.208
Tm -8.352 -0.417 2.352
Tm -6.053 -0.893 -3.598
Tm -11.159 -0.748 0.188
Tm -8.854 -1.227 -5.756
```

=====

[2]
# RbCrIN2

Crystalline RbCrIN2 at its relaxed geometry (GGA-PBE, the Alexandria database).

Summary:
**Formation energy (no corrections)**: 2.10 eV per atom
**Volume**: 196 Å³/cell
**Symmetry**: No. 123

```
5
Lattice="-2.944 -0.454 4.305 4.329 -0.229 2.936 -0.091 7.124 0.690" Properties=species:S:1:pos:R:3 pbc="T T T"
I -0.045 3.562 0.345
Cr 0.647 3.220 3.966
Rb 0.000 0.000 0.000
N 2.164 -0.115 1.468
N -1.472 -0.227 2.153
```

=====

[3]
# SrCa2Al

Crystalline SrCa2Al at its relaxed geometry (GGA-PBE, the Alexandria database).

Summary:
**Volume**: 135 Å³/cell
**Symmetry**: No. 160
**Formation enthalpy at 0 K**: -10 meV per atom

```
4
Lattice="5.748 0.000 0.000 2.874 4.978 0.000 2.874 1.659 4.711" Properties=species:S:1:pos:R:3 pbc="T T T"
Sr 5.748 3.318 2.358
Ca 2.874 1.659 4.707
Ca 2.874 1.659 1.174
Al 8.622 4.978 3.540
```

=====

[4]
# CsTmTe2O8

Crystalline CsTmTe2O8 at its relaxed geometry (GGA-PBE, the Alexandria database).

Summary:
**Formation energy (no corrections)**: -1.61 eV per atom
**Volume**: 265 Å³/cell
**Symmetry**: No. 147

```
12
Lattice="5.774 0.000 0.000 -2.887 5.001 0.000 0.000 0.000 9.173" Properties=species:S:1:pos:R:3 pbc="T T T"
Cs 0.000 0.000 0.000
Tm 0.000 0.000 4.587
Te 2.887 1.667 2.623
Te 0.000 3.334 6.551
O 0.000 3.334 8.372
O 1.189 1.298 3.245
O 4.055 0.381 3.245
O 2.887 1.667 0.802
O -1.168 4.620 5.929
O 1.698 3.702 5.929
O -0.530 1.679 5.929
O 3.417 3.322 3.245
```

=====

| no. | size of the total moment (μB/cell) | Fermi-level density of states (states/eV/atom) |
| --- | --- | --- |
| 1 | 0.0 | 1.87 |
| 2 | 0.0 | 0.62 |
| 3 | 0.0 | 0.85 |
| 4 | 0.1 | 0.00 |